# Tc3AgB, optimized geometry, DFT PBE
# - energy of formation (eV per atom) = 3.30
# - calculated density (g/cm³) = 5.89
# - total DFT energy (no corrections) (eV per atom) = -4.821
data_Tc3AgB
_chemical_formula_sum 'Tc3 Ag1 B1'
_cell_length_a 4.8810
_cell_length_b 4.8810
_cell_length_c 4.8810
_cell_angle_alpha 90.00
_cell_angle_beta 90.00
_cell_angle_gamma 90.00
_symmetry_space_group_name_H-M 'P m -3 m'
_symmetry_Int_Tables_number 221
_symmetry_space_group_name_Hall '-P 4 2 3'
loop_
_atom_site_label
_atom_site_type_symbol
_atom_site_fract_x
_atom_site_fract_y
_atom_site_fract_z
Tc1 Tc 0.0000 0.0000 0.5000
Ag1 Ag 0.0000 0.0000 0.0000
B1 B 0.5000 0.5000 0.5000